Entry 1:
First-principles (GGA-PBEsol) data for Y2CoAg after structural relaxation, as listed in Alexandria.

```
Y2CoAg
1.0
3.3627 0.0000 0.0000
0.0000 3.3627 0.0000
0.0000 0.0000 7.1908
Y Ag Co
2 1 1
Direct
0.0000 0.0000 0.7757
0.0000 0.0000 0.2243
0.5000 0.5000 0.5000
0.5000 0.5000 0.0000
```

Output
ΔE_f ... -0.929 eV per formula unit


Entry 2:
First-principles (GGA-PBEsol) data for Y4CoAg after structural relaxation, as listed in Alexandria.

```
Y4CoAg
1.0
5.9774 0.0000 0.0000
2.9887 5.1766 0.0000
2.9887 1.7255 4.8805
Ag Y Co
1 4 1
Direct
0.7500 0.7500 0.7500
0.3747 0.3747 0.8760
0.3747 0.8760 0.3747
0.8760 0.3747 0.3747
0.3747 0.3747 0.3747
0.0000 0.0000 0.0000
```

Output
ΔE_f ... 4.962 eV per formula unit


Entry 3:
First-principles (GGA-PBEsol) data for ZnCo2Ag after structural relaxation, as listed in Alexandria.

```
ZnCo2Ag
1.0
-1.2909 1.0535 -2.0182
-2.5126 0.6823 0.2663
1.1217 8.3845 1.9623
Co Zn Ag
2 1 1
Direct
0.7542 0.7542 0.7373
0.2458 0.2458 0.2627
0.5000 0.5000 0.5000
0.0000 0.0000 0.0000
```

Output
ΔE_f ... 1.059 eV per formula unit


Please write out number 3 again, unchanged.
First-principles (GGA-PBEsol) data for ZnCo2Ag after structural relaxation, as listed in Alexandria.

```
ZnCo2Ag
1.0
-1.2909 1.0535 -2.0182
-2.5126 0.6823 0.2663
1.1217 8.3845 1.9623
Co Zn Ag
2 1 1
Direct
0.7542 0.7542 0.7373
0.2458 0.2458 0.2627
0.5000 0.5000 0.5000
0.0000 0.0000 0.0000
```

Output
ΔE_f ... 1.059 eV per formula unit


Please write out number 1 again, unchanged.
First-principles (GGA-PBEsol) data for Y2CoAg after structural relaxation, as listed in Alexandria.

```
Y2CoAg
1.0
3.3627 0.0000 0.0000
0.0000 3.3627 0.0000
0.0000 0.0000 7.1908
Y Ag Co
2 1 1
Direct
0.0000 0.0000 0.7757
0.0000 0.0000 0.2243
0.5000 0.5000 0.5000
0.5000 0.5000 0.0000
```

Output
ΔE_f ... -0.929 eV per formula unit